[1]
Below is an optimized crystal structure of Zr4PtN2, with properties calculated at the GGA-PBE level.

Calculated values
total magnetization: 0.0 Bohr magnetons per cell
VASP energy: -0.3474 Ha/atom
D(E_F): 8.34 states/eV/cell
uncorrected formation energy: -1.327 eV/atom
space-group type: Cmcm (63)

abc: 5.8449 5.8449 11.8940
angles: 90.00 90.00 146.51
With the nearest neighbours (Å) after each atom.
Element x y z (fractional)
Zr 0.0000 0.0000 0.0000  4 N 2.36
Zr 0.0000 0.0000 0.5000  4 N 2.36
Zr 0.2644 0.7356 0.6058  3 N 2.29-2.30
Zr 0.2644 0.7356 0.8942  3 N 2.29-2.30
Zr 0.4223 0.5777 0.2500  2 N 2.33
Zr 0.5777 0.4223 0.7500  2 N 2.33
Zr 0.7356 0.2644 0.1058  3 N 2.29-2.30
Zr 0.7356 0.2644 0.3942  3 N 2.29-2.30
Pt 0.1112 0.8888 0.2500  6 Zr 2.70-2.78
Pt 0.8888 0.1112 0.7500  6 Zr 2.70-2.78
N 0.3666 0.6334 0.0609  6 Zr 2.29-2.36
N 0.3666 0.6334 0.4391  6 Zr 2.29-2.36
N 0.6334 0.3666 0.5609  6 Zr 2.29-2.36
N 0.6334 0.3666 0.9391  6 Zr 2.29-2.36

[2]
Below is an optimized crystal structure of Zr3PtN, with properties calculated at the GGA-PBE level.

Calculated values
total magnetization: 0.0 Bohr magnetons per cell
VASP energy: -0.3331 Ha/atom
D(E_F): 5.72 states/eV/cell
uncorrected formation energy: -1.063 eV/atom
space-group type: P2_1/m (11)

abc: 4.4552 4.6633 8.2848
angles: 90.00 90.05 90.00
With the nearest neighbours (Å) after each atom.
Element x y z (fractional)
Zr 0.0000 0.2500 0.1308  3 N 2.27-2.33
Zr 0.0000 0.7500 0.8692  3 N 2.27-2.33
Zr 0.0008 0.7500 0.4096  1 N 2.21
Zr 0.4997 0.2500 0.8419  2 N 2.23
Zr 0.5003 0.7500 0.1581  2 N 2.23
Zr 0.9992 0.2500 0.5904  1 N 2.21
Pt 0.4991 0.2500 0.3764  6 Zr 2.85-3.02, 2 Pt 3.10
Pt 0.5009 0.7500 0.6236  6 Zr 2.85-3.02, 2 Pt 3.10
N 0.9998 0.2500 0.8570  6 Zr 2.21-2.33
N 0.0002 0.7500 0.1430  6 Zr 2.21-2.33

[3]
Below is an optimized crystal structure of Zr3PtN, with properties calculated at the GGA-PBE level.

Calculated values
total magnetization: 0.0 Bohr magnetons per cell
VASP energy: -0.3250 Ha/atom
D(E_F): 15.13 states/eV/cell
uncorrected formation energy: -0.841 eV/atom
space-group type: C2/c (15)

abc: 8.0192 8.0192 6.6043
angles: 102.21 102.21 83.10
With the nearest neighbours (Å) after each atom.
Element x y z (fractional)
Zr 0.0158 0.7415 0.8675  1 N 2.12
Zr 0.1037 0.6300 0.3656  1 N 2.09
Zr 0.2585 0.9842 0.6325  1 N 2.12
Zr 0.3132 0.4100 0.9798  2 N 2.08-2.17
Zr 0.3700 0.8963 0.1344  1 N 2.09
Zr 0.4100 0.3132 0.4798  2 N 2.08-2.17
Zr 0.5900 0.6868 0.5202  2 N 2.08-2.17
Zr 0.6300 0.1037 0.8656  1 N 2.09
Zr 0.6868 0.5900 0.0202  2 N 2.08-2.17
Zr 0.7415 0.0158 0.3675  1 N 2.12
Zr 0.8963 0.3700 0.6344  1 N 2.09
Zr 0.9842 0.2585 0.1325  1 N 2.12
Pt 0.0509 0.9491 0.2500  6 Zr 2.70-2.78
Pt 0.3439 0.6561 0.7500  8 Zr 2.79-3.00
Pt 0.6561 0.3439 0.2500  8 Zr 2.79-3.00
Pt 0.9491 0.0509 0.7500  6 Zr 2.70-2.78
N 0.2110 0.3868 0.2508  4 Zr 2.08-2.17
N 0.3868 0.2110 0.7508  4 Zr 2.08-2.17
N 0.6132 0.7890 0.2492  4 Zr 2.08-2.17
N 0.7890 0.6132 0.7492  4 Zr 2.08-2.17